A relaxed structure of TlCdPO. Source: OQMD via LeMat-Bulk, functional PBE.

Cell lengths 4.1030, 6.6367, 6.4172 Å; angles 90.00, 90.00, 90.00 degrees
Fractional positions:
Cd1 0.0000 0.6952 0.4716
Cd2 0.0000 0.3048 0.9716
O1 0.5000 0.8384 0.3839
O2 0.5000 0.1616 0.8839
P1 0.0000 0.3204 0.3705
P2 0.0000 0.6796 0.8705
Tl1 0.5000 0.8425 0.0280
Tl2 0.5000 0.1575 0.5280

**VASP energy**: -3.699 eV/atom
**Space group**: Pmc2_1, No. 26

---

A relaxed structure of RbNdBr3. Source: OQMD via LeMat-Bulk, functional PBE.

Cell lengths 8.4066, 7.7096, 11.5116 Å; angles 90.00, 90.00, 90.00 degrees
Last column: magnetic moment on the atom in μB.
Fractional positions:
Br1 0.1967 0.1875 0.0347  0.00
Br2 0.6967 0.3125 0.0347  0.01
Br3 0.0140 0.5730 0.2469  0.00
Br4 0.5140 0.9270 0.2469  0.00
Br5 0.1980 0.1880 0.4591  0.00
Br6 0.6980 0.3120 0.4591  0.00
Br7 0.3033 0.6875 0.5347  0.01
Br8 0.8033 0.8125 0.5347  0.00
Br9 0.4860 0.0730 0.7469  0.00
Br10 0.9860 0.4270 0.7469  0.00
Br11 0.3020 0.6880 0.9591  0.01
Br12 0.8020 0.8120 0.9591  0.00
Nd1 0.5004 0.0003 0.4969  0.44
Nd2 0.0004 0.4997 0.4969  0.45
Nd3 0.9996 0.5003 0.9969  0.45
Nd4 0.4996 0.9997 0.9969  0.44
Rb1 0.9239 0.0254 0.2472  0.00
Rb2 0.4239 0.4746 0.2472  0.00
Rb3 0.5761 0.5254 0.7472  0.00
Rb4 0.0761 0.9746 0.7472  0.00

**Magnetic moment**: 3.55 Bohr magnetons per cell
**VASP energy**: -3.749 eV/atom
**Space group**: Pna2_1, No. 33

---

A relaxed structure of Lu2Sc. Source: OQMD via LeMat-Bulk, functional PBE.

Cell lengths 6.2359, 6.2359, 6.2359 Å; angles 60.00, 60.00, 60.00 degrees
Fractional positions:
Lu1 0.6250 0.6250 0.1250
Lu2 0.6250 0.1250 0.6250
Lu3 0.1250 0.6250 0.6250
Lu4 0.6250 0.6250 0.6250
Sc1 0.0000 0.0000 0.0000
Sc2 0.2500 0.2500 0.2500

**Magnetic moment**: 0.01 Bohr magnetons per cell
**VASP energy**: -4.791 eV/atom
**Space group**: Fd-3m, No. 227

---

A relaxed structure of Sr2Tl4PdPt. Source: OQMD via LeMat-Bulk, functional PBE.

Cell lengths 8.4603, 6.0308, 6.0308 Å; angles 43.48, 90.00, 90.00 degrees
Fractional positions:
Pd1 0.0000 0.7803 0.7803
Pt1 0.5000 0.2201 0.2201
Sr1 0.0000 0.0652 0.0652
Sr2 0.5000 0.9337 0.9337
Tl1 0.1987 0.3548 0.3548
Tl2 0.8013 0.3548 0.3548
Tl3 0.2998 0.6456 0.6456
Tl4 0.7002 0.6456 0.6456

**Magnetic moment**: 0.00 Bohr magnetons per cell
**VASP energy**: -3.453 eV/atom
**Space group**: Amm2, No. 38

---

A relaxed structure of ZnTcSn4. Source: OQMD via LeMat-Bulk, functional PBE.

Cell lengths 7.3142, 7.3142, 7.3142 Å; angles 123.23, 123.23, 84.50 degrees
Fractional positions:
Sn1 0.7042 0.2042 0.1886
Sn2 0.9844 0.4844 0.1886
Sn3 0.2042 0.0156 0.5000
Sn4 0.4844 0.2958 0.5000
Sn5 0.5156 0.7042 0.5000
Sn6 0.7958 0.9844 0.5000
Sn7 0.0156 0.5156 0.8114
Sn8 0.2958 0.7958 0.8114
Tc1 0.2500 0.2500 0.0000
Tc2 0.7500 0.7500 0.0000
Zn1 0.0000 0.0000 0.0000
Zn2 0.5000 0.5000 0.0000

**Magnetic moment**: 0.00 Bohr magnetons per cell
**VASP energy**: -4.685 eV/atom
**Space group**: I4/mcm, No. 140

---

A relaxed structure of AgGe2Sb. Source: OQMD via LeMat-Bulk, functional PBE.

Cell lengths 4.9349, 4.9349, 4.9349 Å; angles 60.00, 60.00, 60.00 degrees
Fractional positions:
Ag1 0.5000 0.5000 0.5000
Ge1 0.0000 0.0000 0.0000
Ge2 0.2500 0.2500 0.2500
Sb1 0.7500 0.7500 0.7500

**VASP energy**: -3.733 eV/atom
**Space group**: F-43m, No. 216

---

A relaxed structure of Sr3MgTa2O9. Source: OQMD via LeMat-Bulk, functional PBE.

Cell lengths 5.6554, 5.6554, 6.9544 Å; angles 90.00, 90.00, 120.00 degrees
Fractional positions:
Mg1 0.0000 0.0000 0.5000
O1 0.5000 0.0000 0.0000
O2 0.0000 0.5000 0.0000
O3 0.5000 0.5000 0.0000
O4 0.1681 0.3362 0.3286
O5 0.1681 0.8319 0.3286
O6 0.6638 0.8319 0.3286
O7 0.3362 0.1681 0.6714
O8 0.8319 0.1681 0.6714
O9 0.8319 0.6638 0.6714
Sr1 0.0000 0.0000 0.0000
Sr2 0.6667 0.3333 0.3377
Sr3 0.3333 0.6667 0.6623
Ta1 0.3333 0.6667 0.1790
Ta2 0.6667 0.3333 0.8210

**Magnetic moment**: 0.01 Bohr magnetons per cell
**VASP energy**: -8.012 eV/atom
**Space group**: P-3m1, No. 164

---

A relaxed structure of HfCd2Ni. Source: OQMD via LeMat-Bulk, functional PBE.

Cell lengths 4.6379, 4.6379, 4.6379 Å; angles 60.00, 60.00, 60.00 degrees
Fractional positions:
Cd1 0.5000 0.5000 0.5000
Cd2 0.7500 0.7500 0.7500
Hf1 0.2500 0.2500 0.2500
Ni1 0.0000 0.0000 0.0000

**Magnetic moment**: 0.00 Bohr magnetons per cell
**VASP energy**: -4.350 eV/atom
**Space group**: F-43m, No. 216